(1)
5
Lattice="4.6922 0.0000 0.0000 0.0000 3.4045 0.0000 0.0000 0.0000 4.6922" Properties=species:S:1:pos:R:3 comment="MnGaRh2N | Alexandria | PBE | optimized geometry" e_form_raw_ev_per_atom=0.60 dos_at_fermi_per_ev_fu=4.04 spacegroup="P4/mmm (123)" pbc="T T T"
N 0.0000 1.7023 0.0000
Rh 2.3461 0.0000 0.0000
Rh 0.0000 0.0000 2.3461
Ga 2.3461 1.7023 2.3461
Mn 0.0000 0.0000 0.0000

(2)
4
Lattice="-0.3463 2.9622 3.9830 -4.3290 2.1924 1.1012 -2.5949 -1.4765 3.9806" Properties=species:S:1:pos:R:3 comment="ErThOsPt | Alexandria | PBE | optimized geometry" dos_at_fermi_per_ev_fu=2.74 spacegroup="F-43m (216)" final_energy_ev_per_atom=-7.971 pbc="T T T"
Os 0.0000 0.0000 0.0000
Pt -3.6351 1.8390 4.5324
Er -5.4526 2.7586 6.7986
Th -1.8175 0.9195 2.2662

(3)
5
Lattice="-5.0855 3.3243 2.8130 -4.3445 -3.5755 -3.6287 -0.2649 -4.0521 4.3098" Properties=species:S:1:pos:R:3 comment="CsLiAgBr2 | Alexandria | PBE | optimized geometry" e_form_raw_ev_per_atom=-0.24 dos_at_fermi_per_ev_fu=1.12 spacegroup="P4/mmm (123)" pbc="T T T"
Ag -0.1324 -2.0261 2.1549
Cs 0.0000 0.0000 0.0000
Br -2.5428 1.6622 1.4065
Br -2.1723 -1.7878 -1.8144
Li -4.8474 -2.1517 1.7471

(4)
3
Lattice="3.3641 0.0000 0.0000 0.0000 4.4225 0.0000 0.0000 -2.2112 3.8300" Properties=species:S:1:pos:R:3 comment="SnGeIr | Alexandria | PBE | optimized geometry" relative_energy_mev_per_atom=391 dos_at_fermi_per_ev_fu=2.49 spacegroup="P-6m2 (187)" pbc="T T T"
Sn 2.2431 0.0000 2.5533
Ge 0.5608 0.0000 0.0000
Ir 0.5601 2.2113 1.2767